Entry 1:
# BaSnS2I, optimized geometry, DFT GGA-PBE
# E_tot: -15.7 eV/cell
# size of the total moment: 0.0 μB per formula unit
data_BaSnS2I
_space_group_name_H-M_alt 'P 4/m m m'
_space_group_IT_number 123
_space_group_name_Hall '-P 4 2'
_cell_length_a 5.384
_cell_length_b 5.384
_cell_length_c 5.751
_cell_angle_alpha 90.00
_cell_angle_beta 90.00
_cell_angle_gamma 90.00
loop_
_atom_site_label
_atom_site_fract_x
_atom_site_fract_y
_atom_site_fract_z
Ba1 0.000 0.000 0.000
Sn1 0.500 0.500 0.000
S1 0.000 0.500 0.500
I1 0.500 0.500 0.500


Entry 2:
# BaTeSI2, optimized geometry, DFT GGA-PBE
# excess energy over the best structure of this formula in the dataset: 0.0 kJ/mol of atoms
# size of the total moment: 0.0 μB per formula unit
data_BaTeSI2
_space_group_name_H-M_alt 'P 4/m m m'
_space_group_IT_number 123
_space_group_name_Hall '-P 4 2'
_cell_length_a 5.664
_cell_length_b 5.664
_cell_length_c 5.540
_cell_angle_alpha 90.00
_cell_angle_beta 90.00
_cell_angle_gamma 90.00
loop_
_atom_site_label
_atom_site_fract_x
_atom_site_fract_y
_atom_site_fract_z
Ba1 0.000 0.000 0.000
Te1 0.500 0.500 0.000
S1 0.500 0.500 0.500
I1 0.000 0.500 0.500


Entry 3:
# Ba4TeSI2, optimized geometry, DFT GGA-PBE
# E_tot: -31.2 eV/cell
# size of the total moment: 0.0 μB per formula unit
data_Ba4TeSI2
_space_group_name_H-M_alt 'P 1 2/m 1'
_space_group_IT_number 10
_space_group_name_Hall '-P 2y'
_cell_length_a 8.394
_cell_length_b 4.809
_cell_length_c 8.649
_cell_angle_alpha 90.00
_cell_angle_beta 108.59
_cell_angle_gamma 90.00
loop_
_atom_site_label
_atom_site_fract_x
_atom_site_fract_y
_atom_site_fract_z
Ba1 0.218 0.000 0.208
Ba2 0.241 0.500 0.780
Te1 0.500 0.000 0.000
S1 0.000 0.500 0.000
I1 0.000 0.000 0.500
I2 0.500 0.500 0.500


Entry 4:
# BaTeSI2, optimized geometry, DFT GGA-PBE
# excess energy over the best structure of this formula in the dataset: 63.6 kJ/mol of atoms
# size of the total moment: 4.0 μB per formula unit
data_BaTeSI2
_space_group_name_H-M_alt 'P 4/m m m'
_space_group_IT_number 123
_space_group_name_Hall '-P 4 2'
_cell_length_a 6.718
_cell_length_b 6.718
_cell_length_c 7.133
_cell_angle_alpha 90.00
_cell_angle_beta 90.00
_cell_angle_gamma 90.00
loop_
_atom_site_label
_atom_site_fract_x
_atom_site_fract_y
_atom_site_fract_z
Ba1 0.000 0.000 0.000
Te1 0.000 0.000 0.500
S1 0.500 0.500 0.500
I1 0.000 0.500 0.000


Entry 5:
# Ba6Te2SI3, optimized geometry, DFT GGA-PBE
# E_tot: -92.0 eV/cell
# size of the total moment: 0.0 μB per formula unit
data_Ba6Te2SI3
_space_group_name_H-M_alt 'C 1 2/m 1'
_space_group_IT_number 12
_space_group_name_Hall '-C 2y'
_cell_length_a 8.459
_cell_length_b 14.617
_cell_length_c 8.653
_cell_angle_alpha 90.00
_cell_angle_beta 108.97
_cell_angle_gamma 90.00
loop_
_atom_site_label
_atom_site_fract_x
_atom_site_fract_y
_atom_site_fract_z
Ba1 0.229 0.157 0.218
Ba2 0.239 0.000 0.778
Te1 0.000 0.334 0.000
S1 0.000 0.000 0.000
I1 0.000 0.173 0.500
I2 0.000 0.500 0.500


Entry 6:
# Ba6Te3SI2, optimized geometry, DFT GGA-PBE
# E_tot: -96.8 eV/cell
# size of the total moment: 0.0 μB per formula unit
data_Ba6Te3SI2
_space_group_name_H-M_alt 'C 1 2/m 1'
_space_group_IT_number 12
_space_group_name_Hall '-C 2y'
_cell_length_a 8.604
_cell_length_b 14.835
_cell_length_c 8.396
_cell_angle_alpha 90.00
_cell_angle_beta 109.90
_cell_angle_gamma 90.00
loop_
_atom_site_label
_atom_site_fract_x
_atom_site_fract_y
_atom_site_fract_z
Ba1 0.222 0.000 0.246
Ba2 0.237 0.154 0.750
Te1 0.000 0.175 0.000
Te2 0.000 0.500 0.000
S1 0.000 0.000 0.500
I1 0.000 0.335 0.500


Entry 7:
# Ba2TlS2I2, optimized geometry, DFT GGA-PBE
# E_tot: -54.4 eV/cell
# size of the total moment: 0.0 μB per formula unit
data_Ba2TlS2I2
_space_group_name_H-M_alt 'I 4/m m m'
_space_group_IT_number 139
_space_group_name_Hall '-I 4 2'
_cell_length_a 5.360
_cell_length_b 5.360
_cell_length_c 17.945
_cell_angle_alpha 90.00
_cell_angle_beta 90.00
_cell_angle_gamma 90.00
loop_
_atom_site_label
_atom_site_fract_x
_atom_site_fract_y
_atom_site_fract_z
Ba1 0.000 0.000 0.112
Tl1 0.000 0.000 0.500
S1 0.000 0.500 0.000
I1 0.000 0.000 0.311


Entry 8:
# BaZr2SI, optimized geometry, DFT GGA-PBE
# E_tot: -22.0 eV/cell
# size of the total moment: 0.9 μB per formula unit
data_BaZr2SI
_space_group_name_H-M_alt 'P 4/m m m'
_space_group_IT_number 123
_space_group_name_Hall '-P 4 2'
_cell_length_a 5.230
_cell_length_b 5.230
_cell_length_c 6.765
_cell_angle_alpha 90.00
_cell_angle_beta 90.00
_cell_angle_gamma 90.00
loop_
_atom_site_label
_atom_site_fract_x
_atom_site_fract_y
_atom_site_fract_z
Ba1 0.000 0.000 0.000
Zr1 0.000 0.500 0.500
S1 0.500 0.500 0.000
I1 0.500 0.500 0.500


Entry 9:
# BaSbI2, optimized geometry, DFT GGA-PBE
# E_tot: -47.1 eV/cell
# size of the total moment: 3.0 μB per formula unit
data_BaSbI2
_space_group_name_H-M_alt 'F m -3 m'
_space_group_IT_number 225
_space_group_name_Hall '-F 4 2 3'
_cell_length_a 8.648
_cell_length_b 8.648
_cell_length_c 8.648
_cell_angle_alpha 90.00
_cell_angle_beta 90.00
_cell_angle_gamma 90.00
loop_
_atom_site_label
_atom_site_fract_x
_atom_site_fract_y
_atom_site_fract_z
Ba1 0.000 0.000 0.000
Sb1 0.000 0.000 0.500
I1 0.250 0.250 0.250


Entry 10:
# BaSb3I, optimized geometry, DFT GGA-PBE
# excess energy over the best structure of this formula in the dataset: 0.0 kJ/mol of atoms
# size of the total moment: 0.0 μB per formula unit
data_BaSb3I
_space_group_name_H-M_alt 'P m -3 m'
_space_group_IT_number 221
_space_group_name_Hall '-P 4 2 3'
_cell_length_a 5.858
_cell_length_b 5.858
_cell_length_c 5.858
_cell_angle_alpha 90.00
_cell_angle_beta 90.00
_cell_angle_gamma 90.00
loop_
_atom_site_label
_atom_site_fract_x
_atom_site_fract_y
_atom_site_fract_z
Ba1 0.000 0.000 0.000
Sb1 0.000 0.500 0.500
I1 0.500 0.500 0.500


Entry 11:
# Ba2SbI, optimized geometry, DFT GGA-PBE
# E_tot: -58.5 eV/cell
# size of the total moment: 0.0 μB per formula unit
data_Ba2SbI
_space_group_name_H-M_alt 'F m -3 m'
_space_group_IT_number 225
_space_group_name_Hall '-F 4 2 3'
_cell_length_a 8.600
_cell_length_b 8.600
_cell_length_c 8.600
_cell_angle_alpha 90.00
_cell_angle_beta 90.00
_cell_angle_gamma 90.00
loop_
_atom_site_label
_atom_site_fract_x
_atom_site_fract_y
_atom_site_fract_z
Ba1 0.250 0.250 0.250
Sb1 0.000 0.000 0.000
I1 0.000 0.000 0.500


Entry 12:
# Ba4SbI3, optimized geometry, DFT GGA-PBE
# E_tot: -54.7 eV/cell
# size of the total moment: 0.0 μB per formula unit
data_Ba4SbI3
_space_group_name_H-M_alt 'P 1 2/c 1'
_space_group_IT_number 13
_space_group_name_Hall '-P 2yc'
_cell_length_a 8.703
_cell_length_b 10.040
_cell_length_c 8.677
_cell_angle_alpha 90.00
_cell_angle_beta 109.50
_cell_angle_gamma 90.00
loop_
_atom_site_label
_atom_site_fract_x
_atom_site_fract_y
_atom_site_fract_z
Ba1 0.230 0.114 0.000
Ba2 0.237 0.367 0.488
Sb1 0.000 0.128 0.250
I1 0.000 0.374 0.750
I2 0.500 0.129 0.750
I3 0.500 0.376 0.250


no.,calculated volume (Å³ per atom)
1,33.34
2,35.55
3,41.37
4,64.38
5,42.16
6,41.99
7,36.83
8,37.01
9,40.43
10,40.21
11,39.75
12,44.66